CsHg2Pd2: relaxed, PBE.

Cell: 8.6947 8.6947 3.1448 Å, 90.00 90.00 90.00°
Last column: nearest neighbours and their distance in Å.
Fractional coordinates of all 10 atoms:
Hg (0.1269, 0.3731, 0.0000)  6 Pd 2.98-3.02, 3 Hg 3.12-3.14
Hg (0.3731, 0.8731, 0.0000)  6 Pd 2.98-3.02, 3 Hg 3.12-3.14
Hg (0.8731, 0.6269, 0.0000)  6 Pd 2.98-3.02, 3 Hg 3.12-3.14
Hg (0.6269, 0.1269, 0.0000)  6 Pd 2.98-3.02, 3 Hg 3.12-3.14
Pd (0.1670, 0.6670, 0.5000)  6 Hg 2.98-3.02, 2 Pd 3.14
Pd (0.8330, 0.3330, 0.5000)  6 Hg 2.98-3.02, 2 Pd 3.14
Pd (0.3330, 0.1670, 0.5000)  6 Hg 2.98-3.02, 2 Pd 3.14
Pd (0.6670, 0.8330, 0.5000)  6 Hg 2.98-3.02, 2 Pd 3.14
Cs (0.5000, 0.5000, 0.0000)  2 Cs 3.14, 4 Hg 3.43
Cs (0.0000, 0.0000, 0.0000)  2 Cs 3.14, 4 Hg 3.43

As for the density: 10.434 g cm⁻³. The energy of formation comes out at 1 kJ/mol of atoms. Its space group is No. 127. The calculation puts the energy above the most stable polymorph in this dataset at 0.1319 eV/atom.



CsHg2Pd: relaxed, PBE.

Cell: 4.8446 4.8446 7.0823 Å, 70.00 70.00 60.00°
Last column: nearest neighbours and their distance in Å.
Fractional coordinates of all 4 atoms:
Cs (0.5000, 0.5000, 0.5000)  8 Hg 3.83-3.89, 6 Pd 4.29
Hg (0.3009, 0.3009, 0.0974)  3 Pd 2.87, 3 Hg 3.07
Hg (0.6991, 0.6991, 0.9026)  3 Pd 2.87, 3 Hg 3.07
Pd (0.0000, 0.0000, 0.0000)  6 Hg 2.87

As for the density: 8.042 g cm⁻³. The energy of formation comes out at -21 kJ/mol of atoms. Its space group is No. 166. The calculation puts the energy above the most stable polymorph in this dataset at 0.0125 eV/atom.



Cs4Hg7Pd: relaxed, PBE.

Cell: 5.4201 8.7857 12.1616 Å, 70.83 77.12 72.03°
Last column: nearest neighbours and their distance in Å.
Fractional coordinates of all 12 atoms:
Cs (0.7129, 0.8103, 0.7639)  7 Hg 3.58-4.01
Cs (0.4470, 0.3605, 0.7455)  7 Hg 3.62-3.96
Cs (0.2871, 0.1897, 0.2361)  7 Hg 3.58-4.01
Cs (0.5530, 0.6395, 0.2545)  7 Hg 3.62-3.96
Hg (0.6662, 0.2015, 0.4660)  3 Hg 3.08-3.17
Hg (0.1302, 0.1453, 0.5944)  3 Hg 3.08-3.17
Hg (0.3338, 0.7985, 0.5340)  3 Hg 3.08-3.17
Hg (0.8698, 0.8547, 0.4056)  3 Hg 3.08-3.17
Hg (0.1657, 0.6611, 0.0075)  1 Pd 2.81
Hg (0.8343, 0.3389, 0.9925)  1 Pd 2.81
Hg (0.5000, 0.0000, 0.0000)  2 Pd 2.71
Pd (0.0000, 0.0000, 0.0000)  4 Hg 2.71-2.81

As for the density: 6.577 g cm⁻³. The energy of formation comes out at -19 kJ/mol of atoms. Its space group is No. 12.



CsHgPd: relaxed, PBE.

Cell: 9.4076 9.4076 5.1632 Å, 90.00 90.00 148.58°
Last column: nearest neighbours and their distance in Å.
Fractional coordinates of all 6 atoms:
Pd (0.7515, 0.2485, 0.2500)  4 Hg 2.76-2.77
Pd (0.2485, 0.7515, 0.7500)  4 Hg 2.76-2.77
Cs (0.3950, 0.6050, 0.2500)  4 Pd 3.64-3.70, 5 Hg 3.67-3.96
Cs (0.6050, 0.3950, 0.7500)  4 Pd 3.64-3.70, 5 Hg 3.67-3.96
Hg (0.1923, 0.8077, 0.2500)  4 Pd 2.76-2.77
Hg (0.8077, 0.1923, 0.7500)  4 Pd 2.76-2.77

As for the density: 6.133 g cm⁻³. The energy of formation comes out at -11 kJ/mol of atoms. Its space group is No. 63. The calculation puts the energy above the most stable polymorph in this dataset at 0.0130 eV/atom.



CsHg2Pd2: relaxed, PBE.

Cell: 7.0250 7.0250 7.7392 Å, 101.54 101.54 124.00°
Last column: nearest neighbours and their distance in Å.
Fractional coordinates of all 10 atoms:
Pd (0.1022, 0.1022, 0.2044)  4 Hg 2.74-2.78, 1 Pd 2.86
Pd (0.3522, 0.8522, 0.7044)  4 Hg 2.74-2.78, 1 Pd 2.86
Pd (0.8978, 0.8978, 0.7956)  4 Hg 2.74-2.78, 1 Pd 2.86
Pd (0.1478, 0.6478, 0.2956)  4 Hg 2.74-2.78, 1 Pd 2.86
Hg (0.0576, 0.9424, 0.5000)  4 Pd 2.74-2.78
Hg (0.1924, 0.8076, 0.0000)  4 Pd 2.74-2.78
Hg (0.8076, 0.1924, 0.0000)  4 Pd 2.74-2.78
Hg (0.4424, 0.5576, 0.5000)  4 Pd 2.74-2.78
Cs (0.7500, 0.2500, 0.5000)  4 Pd 3.60, 6 Hg 3.82-3.94
Cs (0.5000, 0.5000, 0.0000)  4 Pd 3.60, 6 Hg 3.82-3.94

As for the density: 8.660 g cm⁻³. The energy of formation comes out at -11 kJ/mol of atoms. Its space group is No. 70. The calculation puts the energy above the most stable polymorph in this dataset at 0.0000 eV/atom.



CsHg6Pd2: relaxed, PBE.

Cell: 9.8873 9.8873 9.8873 Å, 60.00 60.00 60.00°
Last column: nearest neighbours and their distance in Å.
Fractional coordinates of all 18 atoms:
Cs (0.5000, 0.5000, 0.5000)  6 Hg 4.17
Cs (0.7500, 0.7500, 0.7500)  6 Hg 4.17
Pd (0.1250, 0.1250, 0.1250)  6 Hg 2.69
Pd (0.1250, 0.6250, 0.1250)  6 Hg 2.69
Pd (0.1250, 0.1250, 0.6250)  6 Hg 2.69
Pd (0.6250, 0.1250, 0.1250)  6 Hg 2.69
Hg (0.4516, 0.4516, 0.0484)  2 Pd 2.69
Hg (0.7984, 0.2016, 0.2016)  2 Pd 2.69
Hg (0.2016, 0.2016, 0.7984)  2 Pd 2.69
Hg (0.4516, 0.0484, 0.4516)  2 Pd 2.69
Hg (0.7984, 0.7984, 0.2016)  2 Pd 2.69
Hg (0.2016, 0.7984, 0.7984)  2 Pd 2.69
Hg (0.0484, 0.0484, 0.4516)  2 Pd 2.69
Hg (0.7984, 0.2016, 0.7984)  2 Pd 2.69
Hg (0.2016, 0.7984, 0.2016)  2 Pd 2.69
Hg (0.0484, 0.4516, 0.4516)  2 Pd 2.69
Hg (0.0484, 0.4516, 0.0484)  2 Pd 2.69
Hg (0.4516, 0.0484, 0.0484)  2 Pd 2.69

As for the density: 7.528 g cm⁻³. The energy of formation comes out at -7 kJ/mol of atoms. Its space group is No. 227. The calculation puts the energy above the most stable polymorph in this dataset at 0.1055 eV/atom.



Cs3Hg3Pd2: relaxed, PBE.

Cell: 5.0128 7.1786 17.5593 Å, 90.00 90.00 110.44°
Last column: nearest neighbours and their distance in Å.
Fractional coordinates of all 16 atoms:
Pd (0.7760, 0.5520, 0.6045)  4 Hg 2.78-2.90
Pd (0.2240, 0.4480, 0.3955)  4 Hg 2.78-2.90
Pd (0.7760, 0.5520, 0.8955)  4 Hg 2.78-2.90
Pd (0.2240, 0.4480, 0.1045)  4 Hg 2.78-2.90
Cs (0.0678, 0.1355, 0.8982)  5 Hg 3.59-3.99, 3 Pd 3.76-3.93, 1 Cs 4.01
Cs (0.0678, 0.1355, 0.6018)  5 Hg 3.59-3.99, 3 Pd 3.76-3.93, 1 Cs 4.01
Cs (0.6130, 0.2261, 0.2500)  4 Hg 3.61-3.75, 4 Pd 3.88
Cs (0.3870, 0.7739, 0.7500)  4 Hg 3.61-3.75, 4 Pd 3.88
Cs (0.9322, 0.8645, 0.1018)  5 Hg 3.59-3.99, 3 Pd 3.76-3.93, 1 Cs 4.01
Cs (0.9322, 0.8645, 0.3982)  5 Hg 3.59-3.99, 3 Pd 3.76-3.93, 1 Cs 4.01
Hg (0.6940, 0.3880, 0.7500)  2 Pd 2.78
Hg (0.3234, 0.6467, 0.9577)  3 Pd 2.81-2.90
Hg (0.3234, 0.6467, 0.5423)  3 Pd 2.81-2.90
Hg (0.6766, 0.3533, 0.4577)  3 Pd 2.81-2.90
Hg (0.3060, 0.6120, 0.2500)  2 Pd 2.78
Hg (0.6766, 0.3533, 0.0423)  3 Pd 2.81-2.90

As for the density: 6.805 g cm⁻³. The energy of formation comes out at -19 kJ/mol of atoms. Its space group is No. 63. The calculation puts the energy above the most stable polymorph in this dataset at 0.0000 eV/atom.



Cs2Hg5Pd: relaxed, PBE.

Cell: 7.6990 9.5369 16.0882 Å, 90.00 90.00 90.00°
Last column: nearest neighbours and their distance in Å.
Fractional coordinates of all 32 atoms:
Pd (0.7500, 0.3181, 0.5535)  6 Hg 2.73-2.82
Pd (0.7500, 0.8181, 0.9465)  6 Hg 2.73-2.82
Pd (0.2500, 0.6819, 0.4465)  6 Hg 2.73-2.82
Pd (0.2500, 0.1819, 0.0535)  6 Hg 2.73-2.82
Hg (0.5228, 0.1341, 0.6365)  1 Pd 2.81
Hg (0.5000, 0.0000, 0.0000)  2 Pd 2.73
Hg (0.4772, 0.3659, 0.1365)  1 Pd 2.81
Hg (0.0000, 0.5000, 0.5000)  2 Pd 2.73
Hg (0.4772, 0.8659, 0.3635)  1 Pd 2.81
Hg (0.7500, 0.1236, 0.4230)  1 Pd 2.80
Hg (0.0228, 0.3659, 0.1365)  1 Pd 2.81
Hg (0.2500, 0.5404, 0.2927)  1 Pd 2.82
Hg (0.9772, 0.1341, 0.6365)  1 Pd 2.81
Hg (0.7500, 0.4596, 0.7073)  1 Pd 2.82
Hg (0.0000, 0.0000, 0.0000)  2 Pd 2.73
Hg (0.0228, 0.8659, 0.3635)  1 Pd 2.81
Hg (0.7500, 0.6236, 0.0770)  1 Pd 2.80
Hg (0.2500, 0.3764, 0.9230)  1 Pd 2.80
Hg (0.2500, 0.8764, 0.5770)  1 Pd 2.80
Hg (0.7500, 0.9596, 0.7927)  1 Pd 2.82
Hg (0.5000, 0.5000, 0.5000)  2 Pd 2.73
Hg (0.5228, 0.6341, 0.8635)  1 Pd 2.81
Hg (0.2500, 0.0404, 0.2073)  1 Pd 2.82
Hg (0.9772, 0.6341, 0.8635)  1 Pd 2.81
Cs (0.2500, 0.4703, 0.6922)  9 Hg 3.65-3.94
Cs (0.2500, 0.9703, 0.8078)  9 Hg 3.65-3.94
Cs (0.7500, 0.0297, 0.1922)  9 Hg 3.65-3.94
Cs (0.2500, 0.1945, 0.4288)  11 Hg 3.67-3.99
Cs (0.7500, 0.3055, 0.9288)  11 Hg 3.67-3.99
Cs (0.2500, 0.6945, 0.0712)  11 Hg 3.67-3.99
Cs (0.7500, 0.5297, 0.3078)  9 Hg 3.65-3.94
Cs (0.7500, 0.8055, 0.5712)  11 Hg 3.67-3.99

As for the density: 7.733 g cm⁻³. The energy of formation comes out at -22 kJ/mol of atoms. Its space group is No. 62. The calculation puts the energy above the most stable polymorph in this dataset at 0.0000 eV/atom.



CsHg7Pd5: relaxed, PBE.

Cell: 5.8344 7.5323 7.5323 Å, 82.30 67.21 67.21°
Last column: nearest neighbours and their distance in Å.
Fractional coordinates of all 13 atoms:
Hg (0.6554, 0.3446, 0.3446)  4 Pd 3.02, 5 Hg 3.10-3.28, 1 Cs 3.35
Hg (0.2641, 0.2359, 0.2359)  4 Pd 2.85, 6 Hg 3.10-3.12
Hg (0.9886, 0.3533, 0.6694)  5 Pd 2.86-3.06, 2 Hg 3.10-3.13
Hg (0.9886, 0.6694, 0.3533)  5 Pd 2.86-3.06, 2 Hg 3.10-3.13
Hg (0.5102, 0.7881, 0.1914)  5 Pd 2.82-3.01, 1 Hg 3.12
Hg (0.5102, 0.1914, 0.7881)  5 Pd 2.82-3.01, 1 Hg 3.12
Hg (0.3352, 0.6648, 0.6648)  6 Pd 2.99-3.05, 1 Hg 3.11, 1 Cs 3.26
Pd (0.7421, 0.7579, 0.7579)  6 Hg 2.86-3.05, 4 Pd 2.91
Pd (0.4961, 0.0003, 0.4968)  7 Hg 2.82-3.06, 3 Pd 2.86-2.98
Pd (0.4961, 0.4968, 0.0003)  7 Hg 2.82-3.06, 3 Pd 2.86-2.98
Pd (0.0067, 0.4968, 0.0003)  7 Hg 2.82-3.06, 3 Pd 2.86-2.98
Pd (0.0067, 0.0003, 0.4968)  7 Hg 2.82-3.06, 3 Pd 2.86-2.98
Cs (0.9998, 0.0002, 0.0002)  8 Hg 3.26-3.54

As for the density: 12.213 g cm⁻³. The energy of formation comes out at -14 kJ/mol of atoms. Its space group is No. 44.



Cs3Hg4Pd4: relaxed, PBE.

Cell: 7.5215 7.5215 7.5215 Å, 109.47 109.47 109.47°
Last column: nearest neighbours and their distance in Å.
Fractional coordinates of all 11 atoms:
Hg (0.0000, 0.0000, 0.5995)  4 Pd 2.79-2.93
Hg (0.0000, 0.5995, 0.0000)  4 Pd 2.79-2.93
Hg (0.5995, 0.0000, 0.0000)  4 Pd 2.79-2.93
Hg (0.4005, 0.4005, 0.4005)  4 Pd 2.79-2.93
Cs (0.0000, 0.5000, 0.5000)  4 Hg 3.58, 4 Pd 3.63
Cs (0.5000, 0.5000, 0.0000)  4 Hg 3.58, 4 Pd 3.63
Cs (0.5000, 0.0000, 0.5000)  4 Hg 3.58, 4 Pd 3.63
Pd (0.0000, 0.2288, 0.0000)  4 Hg 2.79-2.93, 3 Pd 2.81
Pd (0.2288, 0.0000, 0.0000)  4 Hg 2.79-2.93, 3 Pd 2.81
Pd (0.0000, 0.0000, 0.2288)  4 Hg 2.79-2.93, 3 Pd 2.81
Pd (0.7712, 0.7712, 0.7712)  4 Hg 2.79-2.93, 3 Pd 2.81

As for the density: 8.247 g cm⁻³. The energy of formation comes out at -23 kJ/mol of atoms. Its space group is No. 217.



Question: Look up the energy of formation of the fifth one.
Answer: -11 kJ/mol of atoms



Question: Which formula does entry 9 have?
Answer: CsHg7Pd5